Entry 1:
! Rb3Pa3WN8 PBE optimized geometry; values from VASP
&SYSTEM
  ibrav = 0, nat = 15, ntyp = 4
/
ATOMIC_SPECIES
N 14.01 N.upf
W 183.84 W.upf
Rb 85.47 Rb.upf
Pa 231.04 Pa.upf
ATOMIC_POSITIONS crystal
N 0.797 0.593 0.350
N 0.282 0.563 0.345
N 0.796 0.053 0.350
N 0.203 0.407 0.650
N 0.743 0.947 0.650
N 0.204 0.947 0.650
N 0.257 0.053 0.350
N 0.718 0.437 0.655
W 0.000 0.000 0.500
Rb 0.500 0.500 0.000
Rb 0.000 0.000 0.000
Rb 0.000 0.500 0.000
Pa 0.500 0.000 0.500
Pa 0.500 0.500 0.500
Pa 0.000 0.500 0.500
CELL_PARAMETERS angstrom
6.931 0.000 0.000
-3.465 6.003 -0.022
0.000 -3.982 6.801
! Energy in Ry per atom: -0.6142
! Theoretical density in Mg/m³: 7.32

***

Entry 2:
! RbPaWN4 PBE optimized geometry; values from VASP
&SYSTEM
  ibrav = 0, nat = 14, ntyp = 4
/
ATOMIC_SPECIES
N 14.01 N.upf
W 183.84 W.upf
Pa 231.04 Pa.upf
Rb 85.47 Rb.upf
ATOMIC_POSITIONS crystal
N 0.048 0.984 0.344
N 0.048 0.516 0.344
N 0.470 0.750 0.224
N 0.530 0.250 0.776
N 0.952 0.016 0.656
N 0.517 0.250 0.440
N 0.483 0.750 0.560
N 0.952 0.484 0.656
W 0.257 0.750 0.348
W 0.743 0.250 0.652
Pa 0.793 0.750 0.453
Pa 0.207 0.250 0.547
Rb 0.319 0.250 0.071
Rb 0.681 0.750 0.929
CELL_PARAMETERS angstrom
-5.531 0.372 -2.606
-1.792 -4.867 3.108
-0.057 4.378 6.821
! Energy in Ry per atom: -0.6559
! Theoretical density in Mg/m³: 6.49

***

Entry 3:
! RbPaW2N6 PBE optimized geometry; values from VASP
&SYSTEM
  ibrav = 0, nat = 20, ntyp = 4
/
ATOMIC_SPECIES
N 14.01 N.upf
Pa 231.04 Pa.upf
W 183.84 W.upf
Rb 85.47 Rb.upf
ATOMIC_POSITIONS crystal
N 0.903 0.389 0.781
N 0.227 0.009 0.715
N 0.727 0.715 0.009
N 0.355 0.290 0.369
N 0.773 0.991 0.285
N 0.645 0.710 0.631
N 0.855 0.369 0.290
N 0.273 0.285 0.991
N 0.097 0.611 0.219
N 0.403 0.781 0.389
N 0.597 0.219 0.611
N 0.145 0.631 0.710
Pa 0.250 0.291 0.709
Pa 0.750 0.709 0.291
W 0.158 0.374 0.216
W 0.842 0.626 0.784
W 0.342 0.784 0.626
W 0.658 0.216 0.374
Rb 0.750 0.093 0.907
Rb 0.250 0.907 0.093
CELL_PARAMETERS angstrom
6.479 -0.157 -0.163
1.904 7.632 -0.130
1.904 -0.413 7.622
! Energy in Ry per atom: -0.6830
! Theoretical density in Mg/m³: 6.69

***

Entry 4:
! Rb2Pa2WN6 PBE optimized geometry; values from VASP
&SYSTEM
  ibrav = 0, nat = 11, ntyp = 4
/
ATOMIC_SPECIES
N 14.01 N.upf
Rb 85.47 Rb.upf
W 183.84 W.upf
Pa 231.04 Pa.upf
ATOMIC_POSITIONS crystal
N 0.258 0.258 0.348
N 0.959 0.646 0.351
N 0.354 0.041 0.649
N 0.646 0.959 0.351
N 0.742 0.742 0.652
N 0.041 0.354 0.649
Rb 0.162 0.838 0.000
Rb 0.838 0.162 0.000
W 0.000 0.000 0.500
Pa 0.334 0.666 0.500
Pa 0.666 0.334 0.500
CELL_PARAMETERS angstrom
-1.387 -5.260 2.255
3.653 3.555 2.948
-5.999 3.293 1.738
! Energy in Ry per atom: -0.6263
! Theoretical density in Mg/m³: 7.24

***

Entry 5:
! Rb2PaW2N7 PBE optimized geometry; values from VASP
&SYSTEM
  ibrav = 0, nat = 12, ntyp = 4
/
ATOMIC_SPECIES
N 14.01 N.upf
Rb 85.47 Rb.upf
W 183.84 W.upf
Pa 231.04 Pa.upf
ATOMIC_POSITIONS crystal
N 0.475 0.956 0.138
N 0.339 0.339 0.332
N 0.956 0.475 0.138
N 0.661 0.661 0.668
N 0.500 0.500 0.000
N 0.525 0.044 0.862
N 0.044 0.525 0.862
Rb 0.191 0.191 0.613
Rb 0.809 0.809 0.387
W 0.419 0.419 0.183
W 0.581 0.581 0.817
Pa 0.000 0.000 0.000
CELL_PARAMETERS angstrom
3.919 0.001 0.022
0.005 3.919 0.022
1.970 1.968 12.088
! Energy in Ry per atom: -0.6131
! Theoretical density in Mg/m³: 7.77

***

Entry 6:
! Pa3Re5N12 PBE optimized geometry; values from VASP
&SYSTEM
  ibrav = 0, nat = 80, ntyp = 3
/
ATOMIC_SPECIES
N 14.01 N.upf
Re 186.21 Re.upf
Pa 231.04 Pa.upf
ATOMIC_POSITIONS crystal
N 0.821 0.919 0.297
N 0.976 0.599 0.179
N 0.321 0.524 0.401
N 0.599 0.622 0.419
N 0.821 0.901 0.024
N 0.378 0.976 0.797
N 0.122 0.703 0.524
N 0.622 0.599 0.919
N 0.976 0.378 0.297
N 0.081 0.179 0.203
N 0.099 0.179 0.476
N 0.203 0.679 0.081
N 0.878 0.297 0.476
N 0.878 0.581 0.901
N 0.797 0.476 0.378
N 0.919 0.099 0.622
N 0.622 0.024 0.203
N 0.081 0.901 0.378
N 0.599 0.976 0.679
N 0.419 0.122 0.599
N 0.581 0.703 0.679
N 0.024 0.401 0.821
N 0.203 0.524 0.622
N 0.401 0.378 0.581
N 0.901 0.821 0.524
N 0.401 0.024 0.321
N 0.476 0.679 0.099
N 0.581 0.878 0.401
N 0.524 0.321 0.901
N 0.703 0.581 0.179
N 0.179 0.081 0.703
N 0.919 0.821 0.797
N 0.321 0.797 0.419
N 0.476 0.797 0.878
N 0.179 0.099 0.976
N 0.703 0.122 0.024
N 0.679 0.203 0.581
N 0.797 0.321 0.919
N 0.378 0.401 0.081
N 0.297 0.878 0.976
N 0.024 0.622 0.703
N 0.524 0.203 0.122
N 0.419 0.297 0.321
N 0.099 0.919 0.122
N 0.122 0.419 0.099
N 0.901 0.081 0.878
N 0.679 0.476 0.599
N 0.297 0.419 0.821
Re 0.250 0.875 0.125
Re 0.125 0.375 0.250
Re 0.500 0.500 0.000
Re 0.625 0.875 0.250
Re 0.375 0.250 0.125
Re 0.000 0.500 0.000
Re 0.875 0.625 0.750
Re 0.125 0.750 0.375
Re 0.750 0.125 0.875
Re 0.875 0.250 0.625
Re 0.250 0.375 0.625
Re 0.750 0.625 0.375
Re 0.625 0.750 0.875
Re 0.000 0.000 0.500
Re 0.500 0.000 0.500
Re 0.000 0.500 0.500
Re 0.000 0.000 0.000
Re 0.500 0.500 0.500
Re 0.375 0.125 0.750
Re 0.500 0.000 0.000
Pa 0.625 0.250 0.375
Pa 0.250 0.125 0.375
Pa 0.625 0.375 0.750
Pa 0.250 0.625 0.875
Pa 0.750 0.375 0.125
Pa 0.875 0.750 0.125
Pa 0.375 0.625 0.250
Pa 0.750 0.875 0.625
Pa 0.375 0.750 0.625
Pa 0.875 0.125 0.250
Pa 0.125 0.250 0.875
Pa 0.125 0.875 0.750
CELL_PARAMETERS angstrom
11.015 0.000 0.000
-3.672 10.385 0.000
-3.672 -5.193 8.994
! Energy in Ry per atom: -0.7414
! Theoretical density in Mg/m³: 11.57